The following is a meta-GGA SCAN calculation of a PBEsol-optimized structure of TiMn3Ge, from Alexandria.

```
TiMn3Ge
1.0
4.370 0.000 0.000
0.000 4.370 0.000
0.000 0.000 4.370
Ti Mn Ge
1 3 1
Cartesian
0.000 0.000 0.000
0.000 2.185 0.000
0.000 0.000 2.185
2.185 0.000 0.000
2.185 2.185 2.185
```

The calculation puts the formation energy at 0.927 eV/atom. As for the space group: Pm-3m (221).